Computed, not measured: a relaxed NdMg3Ga crystal at the PBE level of DFT.

Properties
The calculation puts the energy of formation at -0.143 eV per atom. The crystal system is orthorhombic. The calculation puts the density of states at the Fermi level at 0.63 states/eV per atom. The calculation puts the magnetization at 0.00 μB/f.u.

a = 4.727 Å, b = 4.813 Å, c = 6.122 Å
α = 113.15°, β = 90.00°, γ = 90.00°
Positions (direct):
Ga: 0.500 0.379 0.757
Mg: 0.000 0.543 0.086
Mg: 0.000 0.252 0.505
Mg: 0.500 0.746 0.492
Nd: 0.500 0.040 0.081



Computed, not measured: a relaxed LiMnTeN2 crystal at the PBE level of DFT.

Properties
As for the uncorrected formation energy: 0.34 eV/atom. The crystal system is tetragonal. The calculation puts the density of states at the Fermi level at 0.81 states/eV per atom. The calculation puts the magnetization at 0.00 μB/f.u.

a = 3.646 Å, b = 3.646 Å, c = 5.538 Å
α = 90.00°, β = 90.00°, γ = 90.00°
Positions (direct):
N: 0.500 0.000 0.000
N: 0.000 0.500 0.000
Te: 0.000 0.000 0.500
Mn: 0.000 0.000 0.000
Li: 0.500 0.500 0.500



Computed, not measured: a relaxed Cd4Ag3Pt crystal at the PBE level of DFT.

Properties
The calculation puts the energy of formation at -0.118 eV per atom. The crystal system is orthorhombic. The calculation puts the density of states at the Fermi level at 0.31 states/eV per atom. The calculation puts the magnetization at 0.00 μB/f.u.

a = 5.018 Å, b = 6.156 Å, c = 9.753 Å
α = 90.00°, β = 90.00°, γ = 90.00°
Positions (direct):
Pt: 0.000 0.500 0.500
Pt: 0.000 0.500 0.000
Cd: 0.108 0.254 0.750
Cd: 0.108 0.746 0.750
Cd: 0.500 0.744 0.500
Cd: 0.500 0.256 0.000
Cd: 0.500 0.744 0.000
Cd: 0.500 0.256 0.500
Cd: 0.892 0.746 0.250
Cd: 0.892 0.254 0.250
Ag: 0.612 0.000 0.750
Ag: 0.377 0.500 0.250
Ag: 0.000 0.000 0.500
Ag: 0.000 0.000 0.000
Ag: 0.388 0.000 0.250
Ag: 0.623 0.500 0.750



Q: Number 2 is which compound?
A: LiMnTeN2